This record from Alexandria via LeMat-Bulk describes a relaxed structure of Li4Mn3Cr3Te2O16. The functional is GGA+U.

Computed properties:
Total moment in μB/cell: 21.0
VASP energy in Ha/atom: -0.243

Cell: 6.054 6.054 9.850 Å, 88.49 88.49 59.61°
Each line ends with the local moment (μB).
Sites, in units of the cell vectors:
Li1 0.001 0.001 0.016  0.01
O1 0.473 0.030 0.157  -0.08
O2 0.153 0.153 0.894  -0.13
O3 0.995 0.995 0.693  -0.07
Mn1 0.833 0.833 0.789  3.93
Cr1 0.335 0.833 0.785  2.97
Te1 0.333 0.333 0.015  -0.10
O4 0.512 0.960 0.649  0.01
O5 0.347 0.834 0.413  0.02
O6 0.683 0.160 0.904  -0.10
O7 0.834 0.347 0.413  0.02
O8 0.333 0.333 0.389  -0.08
O9 0.669 0.669 0.883  -0.07
Cr2 0.833 0.335 0.785  2.97
Mn2 0.661 0.175 0.289  4.21
O10 0.480 0.480 0.146  -0.03
Cr3 0.174 0.174 0.287  2.97
Te2 0.669 0.669 0.518  0.06
Li2 0.665 0.665 0.090  0.01
O11 0.960 0.512 0.649  0.01
O12 0.030 0.473 0.157  -0.08
Mn3 0.175 0.661 0.289  4.21
O13 0.160 0.683 0.904  -0.10
Li3 0.333 0.333 0.590  0.00
Li4 0.001 0.001 0.510  0.00
O14 0.520 0.520 0.654  -0.04
O15 0.003 0.003 0.206  -0.07
O16 0.832 0.832 0.415  0.01